Computed, not measured: an optimized crystal structure of LaErTh3 at the GGA-PBE level of DFT.

total magnetization	0.00	μB per atom
SG	No. 74
energy of formation	1.75	eV/f.u.

The structure in POSCAR format:
```
LaErTh3
1.0
5.5963 0.0000 -2.1831
-1.6934 10.9408 -4.3410
-0.2773 -3.5085 7.5536
La Er Th
2 2 6
direct
0.5000 0.0000 0.0000 La
0.0000 0.5000 0.0000 La
0.6977 0.7500 0.5000 Er
0.3023 0.2500 0.5000 Er
0.6674 0.1674 0.8348 Th
0.6674 0.6674 0.8348 Th
0.3326 0.3326 0.1652 Th
0.3326 0.8326 0.1652 Th
0.0000 0.5000 0.5000 Th
0.0000 0.0000 0.5000 Th
```